No. 1
Density functional theory data (PBE) for KNaDy2As2 after structural relaxation.

Geometry as POSCAR:
```
KNaDy2As2
1.0
4.3066 0.0000 0.0000
-2.1533 3.7296 0.0000
0.0000 0.0000 13.4005
As Na Dy K
2 1 2 1
direct
0.6667 0.3333 0.1883
0.0000 0.0000 0.6495
0.6667 0.3333 0.5215
0.3333 0.6667 0.7395
0.3333 0.6667 0.2759
0.0000 0.0000 0.0156
```

Properties
volume: 35.9 Å³/atom
uncorrected energy: -4.020 eV per atom
symmetry: P3m1 (156)

---

No. 2
Density functional theory data (PBE) for Gd4Mg3Pd2 after structural relaxation.

Geometry as POSCAR:
```
Gd4Mg3Pd2
1.0
7.5451 0.0000 0.0000
0.0000 3.7328 0.0000
-2.3663 0.0000 8.0825
Pd Gd Mg
2 4 3
direct
0.8302 0.0000 0.8793
0.1698 0.0000 0.1207
0.4348 0.5000 0.2888
0.1128 0.5000 0.8207
0.8872 0.5000 0.1793
0.5652 0.5000 0.7112
0.1998 0.0000 0.4901
0.8002 0.0000 0.5099
0.5000 0.0000 0.0000
```

Properties
volume: 25.3 Å³/atom
uncorrected energy: -4.183 eV per atom
symmetry: P2/m (10)

---

No. 3
Density functional theory data (PBE) for LiSmInCu after structural relaxation.

Geometry as POSCAR:
```
LiSmInCu
1.0
0.0000 3.3866 3.3866
3.3866 0.0000 3.3866
3.3866 3.3866 0.0000
Sm In Li Cu
1 1 1 1
direct
0.2500 0.2500 0.2500
0.7500 0.7500 0.7500
0.0000 0.0000 0.0000
0.5000 0.5000 0.5000
```

Properties
volume: 19.4 Å³/atom
uncorrected energy: -3.632 eV per atom
symmetry: F-43m (216)